Entry 1:
MoAuBr2 | PBE | optimized geometry

Cell: 9.302 9.302 9.302 Å, 21.04 21.04 21.04°
Sites, in units of the cell vectors:
Mo (0.000, 0.000, 0.000)
Au (0.739, 0.739, 0.739)
Br (0.271, 0.271, 0.271)
Br (0.477, 0.477, 0.477)

Output
Formation energy without anion corrections in eV per atom: 0.155
Polymorph energy (0 for the lowest one) in meV per atom: 72
D(E_F) in states/eV per cell: 1.95
Spin magnetization in μB per cell: 0.00
SG: R3m, No. 160
Crystal system: trigonal
V in Å³/f.u.: 90.9

---

Entry 2:
Zr2TiCo | PBE | optimized geometry

Cell: 5.928 5.928 5.928 Å, 103.13 103.13 123.08°
Sites, in units of the cell vectors:
Zr (0.076, 0.625, 0.951)
Zr (0.375, 0.326, 0.451)
Zr (0.674, 0.125, 0.049)
Zr (0.875, 0.924, 0.549)
Ti (0.250, 0.750, 0.500)
Ti (0.500, 0.500, 0.000)
Co (0.000, 0.000, 0.000)
Co (0.750, 0.250, 0.500)

Output
Polymorph energy (0 for the lowest one) in meV per atom: 309
D(E_F) in states/eV per cell: 10.67
Formation enthalpy at 0 K in eV per atom: 0.19
Spin magnetization in μB per cell: 0.79
SG: I-42d, No. 122
Crystal system: tetragonal
V in Å³/f.u.: 76.7

---

Entry 3:
Ac4Br2N | PBE | optimized geometry

Cell: 8.453 8.453 8.453 Å, 141.39 141.39 55.75°
Sites, in units of the cell vectors:
Ac (0.000, 0.500, 0.500)
Ac (0.172, 0.172, 0.000)
Ac (0.500, 0.000, 0.500)
Ac (0.828, 0.828, 0.000)
Br (0.390, 0.390, 0.000)
Br (0.610, 0.610, 0.000)
N (0.000, 0.000, 0.000)

Output
Formation energy without anion corrections in eV per atom: -0.763
D(E_F) in states/eV per cell: 5.99
Spin magnetization in μB per cell: 0.00
SG: I4/mmm, No. 139
Crystal system: tetragonal
V in Å³/f.u.: 233.4

---

Entry 4:
Ta2InPt | PBE | optimized geometry

Cell: 3.448 3.448 6.148 Å, 90.00 90.00 90.00°
Sites, in units of the cell vectors:
Ta (0.000, 0.000, 0.000)
Ta (0.500, 0.500, 0.232)
In (0.000, 0.000, 0.504)
Pt (0.500, 0.500, 0.747)

Output
D(E_F) in states/eV per cell: 3.06
Formation enthalpy at 0 K in eV per atom: -0.15
Spin magnetization in μB per cell: 0.00
SG: P4mm, No. 99
Crystal system: tetragonal
V in Å³/f.u.: 73.1

---

Entry 5:
YZr2Ga | PBE | optimized geometry

Cell: 4.458 4.458 4.492 Å, 90.00 90.00 90.00°
Sites, in units of the cell vectors:
Y (0.000, 0.000, 0.000)
Zr (0.000, 0.500, 0.500)
Zr (0.500, 0.000, 0.500)
Ga (0.500, 0.500, 0.000)

Output
D(E_F) in states/eV per cell: 3.64
Formation enthalpy at 0 K in eV per atom: -0.22
Spin magnetization in μB per cell: 0.00
SG: P4/mmm, No. 123
Crystal system: tetragonal
V in Å³/f.u.: 89.3

---

Entry 6:
EuLuAg | PBE | optimized geometry

Cell: 5.087 5.087 3.868 Å, 90.00 90.00 120.00°
Sites, in units of the cell vectors:
Eu (0.000, 0.000, 0.000)
Lu (0.667, 0.333, 0.502)
Ag (0.333, 0.667, 0.490)

Output
Polymorph energy (0 for the lowest one) in meV per atom: 151
D(E_F) in states/eV per cell: 5.31
Formation enthalpy at 0 K in eV per atom: -0.01
Spin magnetization in μB per cell: 7.44
SG: P3m1, No. 156
Crystal system: trigonal
V in Å³/f.u.: 86.7